1.
Here is a relaxed HgPBr crystal from Alexandria via LeMat-Bulk. Energies are from PBE-GGA.

```
12
Lattice="6.783 0.000 0.000 0.000 6.783 0.000 0.000 0.000 6.783" Properties=species:S:1:pos:R:3 pbc="T T T"
Hg 0.000 0.000 0.000
Hg 0.000 3.392 3.392
Hg 3.392 0.000 3.392
Hg 3.392 3.392 0.000
P 1.696 1.696 5.087
P 1.696 5.087 1.696
P 5.087 1.696 1.696
P 5.087 5.087 5.087
Br 0.000 0.000 3.392
Br 0.000 3.392 0.000
Br 3.392 0.000 0.000
Br 3.392 3.392 3.392
```

Output
The formation energy (no corrections) is 178 kJ/mol of formula units. The crystal system is cubic. Its size of the total moment is 0.351 μB/f.u. The space group is No. 216. The density of states at the Fermi level is 1.501 states/eV/atom. The calculated density is 6.6 g/cm³.

***

2.
Here is a relaxed HgPBr2 crystal from Alexandria via LeMat-Bulk. Energies are from PBE-GGA.

```
4
Lattice="3.297 0.000 0.000 0.000 3.297 0.000 0.000 0.000 9.957" Properties=species:S:1:pos:R:3 pbc="T T T"
Hg 0.000 0.000 0.000
P 0.000 0.000 4.978
Br 1.648 1.648 3.261
Br 1.648 1.648 6.695
```

Output
The formation energy (no corrections) is 172 kJ/mol of formula units. The crystal system is tetragonal. Its size of the total moment is 0.000 μB/f.u. The space group is No. 123. The density of states at the Fermi level is 0.381 states/eV/atom. The calculated density is 6.0 g/cm³.